# 1
# PBE La6PuSe8, optimized geometry
data_La6PuSe8
_chemical_formula_sum 'La24 Pu4 Se32'
_symmetry_space_group_name_H-M 'F m -3 m'
_symmetry_Int_Tables_number 225
_symmetry_space_group_name_Hall '-F 4 2 3'
_cell_length_a 12.156
_cell_length_b 12.156
_cell_length_c 12.156
_cell_angle_alpha 90.00
_cell_angle_beta 90.00
_cell_angle_gamma 90.00
loop_
_atom_site_label
_atom_site_type_symbol
_atom_site_fract_x
_atom_site_fract_y
_atom_site_fract_z
_atom_site_occupancy
La1 La 0.000 0.250 0.250 1
Pu1 Pu 0.000 0.000 0.000 1
Se1 Se 0.000 0.000 0.246 1
Se2 Se 0.250 0.250 0.250 1
# * E: -403.5 eV/cell

=====

# 2
# PBE CaLaInIr, optimized geometry
data_CaLaInIr
_chemical_formula_sum 'Ca4 La4 In4 Ir4'
_symmetry_space_group_name_H-M 'F -4 3 m'
_symmetry_Int_Tables_number 216
_symmetry_space_group_name_Hall 'F -4 2 3'
_cell_length_a 7.374
_cell_length_b 7.374
_cell_length_c 7.374
_cell_angle_alpha 90.00
_cell_angle_beta 90.00
_cell_angle_gamma 90.00
loop_
_atom_site_label
_atom_site_type_symbol
_atom_site_fract_x
_atom_site_fract_y
_atom_site_fract_z
_atom_site_occupancy
Ca1 Ca 0.000 0.000 0.000 1
La1 La 0.000 0.000 0.500 1
In1 In 0.250 0.250 0.250 1
Ir1 Ir 0.250 0.250 0.750 1
# * E: -80.1 eV/cell

=====

# 3
# PBE K2SnF7, optimized geometry
data_K2SnF7
_chemical_formula_sum 'K8 Sn4 F28'
_symmetry_space_group_name_H-M 'C 1 2/c 1'
_symmetry_Int_Tables_number 15
_cell_length_a 13.484
_cell_length_b 6.722
_cell_length_c 9.982
_cell_angle_alpha 90.00
_cell_angle_beta 128.96
_cell_angle_gamma 90.00
loop_
_symmetry_equiv_pos_as_xyz
'x,y,z'
'-x,-y,-z'
'-x,y,-z+1/2'
'x,-y,z+1/2'
'x+1/2,y+1/2,z'
'-x+1/2,-y+1/2,-z'
'-x+1/2,y+1/2,-z+1/2'
'x+1/2,-y+1/2,z+1/2'
loop_
_atom_site_label
_atom_site_type_symbol
_atom_site_fract_x
_atom_site_fract_y
_atom_site_fract_z
_atom_site_occupancy
K1 K 0.155 0.142 0.232 1
Sn1 Sn 0.000 0.297 0.750 1
F1 F 0.000 0.391 0.250 1
F2 F 0.084 0.050 0.911 1
F3 F 0.126 0.284 0.708 1
F4 F 0.137 0.407 0.997 1
# * E: -173.5 eV/cell

=====

What is the E in the second record? -80.1 eV/cell